This record from the Alexandria database describes a relaxed structure of TbIn2Hg4. The functional is PBE.

Unit cell a=5.0347 b=5.0347 c=7.2128 alpha=90.00 beta=90.00 gamma=90.00
With the nearest neighbours (Å) after each atom.
Space group P4/mmm (No. 123)
Asymmetric unit:
Tb 0.0000 0.0000 0.0000  8 Hg 3.18, 4 In 3.56
In 0.0000 0.0000 0.5000  8 Hg 3.02
In 0.5000 0.5000 0.0000  8 Hg 3.18, 4 Tb 3.56
Hg 0.0000 0.5000 0.2692  4 In 3.02-3.18, 2 Tb 3.18, 1 Hg 3.33

This record from the Alexandria database describes a relaxed structure of Tb5In2Hg. The functional is PBE.

Unit cell a=6.9754 b=6.9754 c=9.0568 alpha=90.00 beta=90.00 gamma=90.00
With the nearest neighbours (Å) after each atom.
Space group I4/mmm (No. 139)
Asymmetric unit:
Tb 0.0000 0.0000 0.0000  8 Tb 3.35, 4 In 3.49
Tb 0.2500 0.2500 0.2500  2 Hg 3.35, 6 Tb 3.35-3.49, 4 In 3.35
In 0.0000 0.5000 0.0000  10 Tb 3.35-3.49, 2 Hg 3.49
Hg 0.0000 0.0000 0.5000  8 Tb 3.35, 4 In 3.49

This record from the Alexandria database describes a relaxed structure of Tb3InHg3. The functional is PBE.

Computed properties:
- energy relative to the lowest polymorph listed for this composition (meV/atom) = 0

Unit cell a=9.1798 b=9.1798 c=5.1030 alpha=90.00 beta=90.00 gamma=120.00
With the nearest neighbours (Å) after each atom.
Space group P6_3/m (No. 176)
Asymmetric unit:
Tb 0.1018 0.6554 0.2500  4 Hg 3.06-3.36, 2 In 3.29
In 0.3333 0.6667 0.7500  9 Tb 3.29-3.59, 3 Hg 3.48
Hg 0.0388 0.8006 0.7500  4 Tb 3.06-3.36, 4 Hg 3.26

| no. | formation enthalpy at 0 K (eV per atom) | calculated volume (Å³/cell) | energy (eV/atom) |
| --- | --- | --- | --- |
| 1 | -0.213 | 182.8 | -1.83 |
| 2 | -0.316 | 440.7 | -3.93 |
| 3 | -0.361 | 372.4 | -2.87 |